# 1
Material: NdTmPO
Method: DFT, PBE-GGA
State: optimized geometry

a b c (Å): 4.170 7.666 5.436
angles (deg): 90.00 90.00 90.00
Space group Pmc2_1 (No. 26)
Asymmetric unit:
Nd  0.000  0.135  0.000 (multiplicity 2)
Tm  0.500  0.293  0.496 (multiplicity 2)
P  0.500  0.359  0.996 (multiplicity 2)
O  0.000  0.180  0.493 (multiplicity 2)

Properties
For the polymorph energy (0 for the lowest one), the calculation gives 0 meV per atom. Its crystal system is orthorhombic. For the spin magnetization, the calculation gives 0.006 μB per atom.

=====

# 2
Material: NdTmPO
Method: DFT, PBE-GGA
State: optimized geometry

a b c (Å): 4.300 4.300 8.743
angles (deg): 90.00 90.00 90.00
Space group P4/nmm (No. 129, origin choice 2)
Asymmetric unit:
Nd  0.250  0.750  0.000 (multiplicity 2)
Tm  0.250  0.250  0.409 (multiplicity 2)
P  0.250  0.250  0.786 (multiplicity 2)
O  0.250  0.750  0.500 (multiplicity 2)

Properties
For the polymorph energy (0 for the lowest one), the calculation gives 185 meV per atom. Its crystal system is tetragonal. For the spin magnetization, the calculation gives 0.010 μB per atom.

=====

# 3
Material: NdTmPO
Method: DFT, PBE-GGA
State: optimized geometry

a b c (Å): 4.347 4.347 8.803
angles (deg): 90.00 90.00 90.00
Space group P4/nmm (No. 129, origin choice 2)
Asymmetric unit:
Nd  0.250  0.250  0.115 (multiplicity 2)
Tm  0.250  0.750  0.500 (multiplicity 2)
P  0.250  0.250  0.684 (multiplicity 2)
O  0.250  0.750  0.000 (multiplicity 2)

Properties
For the polymorph energy (0 for the lowest one), the calculation gives 20 meV per atom. Its crystal system is tetragonal. For the spin magnetization, the calculation gives 0.001 μB per atom.